CaTaH2Pt: optimized geometry, PBE.

Cell: 3.7716 3.7716 6.0547 Å, 90.00 90.00 90.00°
With the nearest neighbours (Å) after each atom.
Space group P4/mmm (No. 123)
Inequivalent atoms, fractional coordinates:
Ca (0.0000, 0.0000, 0.0000) (multiplicity 1)  4 Pt 2.67
Ta (0.0000, 0.0000, 0.5000) (multiplicity 1)  4 H 1.89
H (0.0000, 0.5000, 0.5000) (multiplicity 2)  2 Ta 1.89
Pt (0.5000, 0.5000, 0.0000) (multiplicity 1)  4 Ca 2.67

Output
* DFT total energy: -4.6497 eV/atom
* mass density: 8.1 g/cm³
* Fermi-level density of states: 2.2 states/eV/cell


NaDyTlIn: optimized geometry, PBE.

Cell: 3.8455 5.2472 5.2748 Å, 90.00 90.00 90.00°
With the nearest neighbours (Å) after each atom.
Space group Pmmm (No. 47)
Inequivalent atoms, fractional coordinates:
Na (0.0000, 0.0000, 0.0000) (multiplicity 1)  4 Tl 3.25, 4 In 3.26
Dy (0.0000, 0.5000, 0.5000) (multiplicity 1)  4 In 3.25, 4 Tl 3.26
Tl (0.5000, 0.5000, 0.0000) (multiplicity 1)  4 Na 3.25, 4 Dy 3.26
In (0.5000, 0.0000, 0.5000) (multiplicity 1)  4 Dy 3.25, 4 Na 3.26

Output
* formation energy: -275 meV/atom
* mass density: 7.9 g/cm³
* Fermi-level density of states: 2.1 states/eV/cell


EuMgAg2: optimized geometry, PBE.

Cell: 5.0477 5.0477 3.7369 Å, 90.00 90.00 90.00°
With the nearest neighbours (Å) after each atom.
Space group P4/mmm (No. 123)
Inequivalent atoms, fractional coordinates:
Eu (0.0000, 0.0000, 0.0000) (multiplicity 1)  8 Ag 3.14
Mg (0.5000, 0.5000, 0.0000) (multiplicity 1)  8 Ag 3.14
Ag (0.0000, 0.5000, 0.5000) (multiplicity 2)  4 Mg 3.14, 4 Eu 3.14

Output
* formation energy: -148 meV/atom
* mass density: 6.8 g/cm³
* Fermi-level density of states: 9.2 states/eV/cell


PtS4Br: optimized geometry, PBE.

Cell: 9.7409 11.2203 6.0820 Å, 90.00 102.41 90.00°
With the nearest neighbours (Å) after each atom.
Space group C2/c (No. 15)
Inequivalent atoms, fractional coordinates:
Pt (0.0000, 0.1066, 0.2500) (multiplicity 4)  6 S 2.39-2.60
S (0.0873, 0.0862, 0.8764) (multiplicity 8)  1 S 2.03
S (0.0869, 0.3024, 0.3690) (multiplicity 8)  1 S 1.98
Br (0.0000, 0.3626, 0.7500) (multiplicity 4)  2 S 2.72

Output
* mass density: 4.1 g/cm³
* Fermi-level density of states: 12.0 states/eV/cell
* raw formation energy: 0.087 eV/atom


CsTlAu4: optimized geometry, PBE.

Cell: 8.3795 8.3795 8.3795 Å, 90.00 90.00 90.00°
With the nearest neighbours (Å) after each atom.
Space group F-43m (No. 216)
Inequivalent atoms, fractional coordinates:
Cs (0.0000, 0.0000, 0.0000) (multiplicity 4)  12 Au 3.47, 4 Tl 3.63
Tl (0.2500, 0.2500, 0.2500) (multiplicity 4)  12 Au 3.47, 4 Cs 3.63
Au (0.1248, 0.1248, 0.6248) (multiplicity 16)  6 Au 2.96-2.97

Output
* formation energy: 9 meV/atom
* mass density: 12.7 g/cm³
* Fermi-level density of states: 27.2 states/eV/cell


Pm6PtRh3: optimized geometry, PBE.

Cell: 10.9876 14.2184 7.1076 Å, 90.00 90.00 90.00°
With the nearest neighbours (Å) after each atom.
Space group Cmc2_1 (No. 36)
Inequivalent atoms, fractional coordinates:
Pm (0.0000, 0.0095, 0.0000) (multiplicity 4)  2 Pt 2.85-2.91, 2 Rh 2.86
Pm (0.0000, 0.2370, 0.3679) (multiplicity 4)  1 Pt 2.82, 3 Rh 2.91-2.96
Pm (0.1688, 0.2741, 0.9343) (multiplicity 8)  3 Rh 2.83-2.97, 1 Pt 2.86
Pm (0.1723, 0.4700, 0.3888) (multiplicity 8)  4 Rh 2.89-3.08
Pt (0.0000, 0.1587, 0.7321) (multiplicity 4)  5 Pm 2.82-2.91
Rh (0.0000, 0.4019, 0.1143) (multiplicity 4)  7 Pm 2.89-3.08
Rh (0.1813, 0.1134, 0.2007) (multiplicity 8)  6 Pm 2.83-2.98

Output
* formation energy: -614 meV/atom
* mass density: 8.2 g/cm³
* Fermi-level density of states: 24.3 states/eV/cell


Tl2CoAu2: optimized geometry, PBE.

Cell: 3.7490 3.7490 16.2755 Å, 90.00 90.00 90.00°
With the nearest neighbours (Å) after each atom.
Space group I4/mmm (No. 139)
Inequivalent atoms, fractional coordinates:
Tl (0.0000, 0.0000, 0.0941) (multiplicity 4)  4 Co 3.06, 1 Tl 3.06, 4 Au 3.15
Co (0.0000, 0.0000, 0.5000) (multiplicity 2)  8 Tl 3.06
Au (0.0000, 0.5000, 0.2500) (multiplicity 4)  4 Au 2.65

Output
* formation energy: 470 meV/atom
* mass density: 12.5 g/cm³
* Fermi-level density of states: 10.3 states/eV/cell


YHo2PbC: optimized geometry, PBE.

Cell: 4.8952 4.8952 4.9234 Å, 90.00 90.00 90.00°
With the nearest neighbours (Å) after each atom.
Space group P4/mmm (No. 123)
Inequivalent atoms, fractional coordinates:
Y (0.0000, 0.0000, 0.0000) (multiplicity 1)  2 C 2.46
Ho (0.0000, 0.5000, 0.5000) (multiplicity 2)  2 C 2.45
Pb (0.5000, 0.5000, 0.0000) (multiplicity 1)  4 Y 3.46, 8 Ho 3.47
C (0.0000, 0.0000, 0.5000) (multiplicity 1)  4 Ho 2.45, 2 Y 2.46

Output
* formation energy: -558 meV/atom
* mass density: 9.0 g/cm³
* Fermi-level density of states: 2.2 states/eV/cell